# Ho4PuS7

A relaxed structure of Ho4PuS7 (PBE, Alexandria).

Summary:
Symmetry ... Cm (8)

```
Ho4PuS7
1.0
3.814 0.000 0.000
-1.907 6.199 -1.630
0.000 0.034 11.629
Ho Pu S
4 1 7
Direct
0.698 0.397 0.811 Ho
0.303 0.606 0.190 Ho
0.001 0.001 0.001 Ho
0.115 0.230 0.422 Ho
0.885 0.770 0.578 Pu
0.737 0.474 0.347 S
0.257 0.513 0.650 S
0.342 0.685 0.951 S
0.660 0.320 0.051 S
0.044 0.087 0.789 S
0.959 0.917 0.215 S
0.500 0.000 0.495 S
```

=====

# HoPu2S5

A relaxed structure of HoPu2S5 (PBE, Alexandria).

Summary:
Symmetry ... Fmmm (69)

```
HoPu2S5
1.0
5.017 0.000 1.685
2.509 4.314 0.842
0.091 0.000 8.040
Ho Pu S
1 2 5
Direct
0.500 0.500 0.500 Ho
0.822 0.500 0.855 Pu
0.178 0.500 0.145 Pu
0.179 0.829 0.814 S
0.492 0.829 0.186 S
0.000 0.500 0.500 S
0.821 0.171 0.186 S
0.508 0.171 0.814 S
```

=====

# Ho3PuS6

A relaxed structure of Ho3PuS6 (PBE, Alexandria).

Summary:
Symmetry ... P2_1/m (11)

```
Ho3PuS6
1.0
-1.124 3.288 1.885
-9.869 -4.514 1.992
6.874 -2.522 8.497
Ho Pu S
6 2 12
Direct
0.750 0.434 0.833 Ho
0.250 0.566 0.167 Ho
0.750 0.680 0.503 Ho
0.250 0.320 0.497 Ho
0.750 0.159 0.083 Ho
0.250 0.841 0.917 Ho
0.750 0.047 0.688 Pu
0.250 0.953 0.312 Pu
0.750 0.478 0.613 S
0.250 0.522 0.387 S
0.750 0.918 0.099 S
0.250 0.082 0.901 S
0.750 0.398 0.064 S
0.250 0.602 0.936 S
0.750 0.743 0.276 S
0.250 0.257 0.724 S
0.750 0.115 0.460 S
0.250 0.885 0.540 S
0.750 0.806 0.751 S
0.250 0.194 0.249 S
```

=====

# HoPu3S4

A relaxed structure of HoPu3S4 (PBE, Alexandria).

Summary:
Symmetry ... Cmmm (65)
Energy above the lowest structure with this stoichiometry ... 1.01 kJ/mol of atoms

```
HoPu3S4
1.0
3.937 0.000 0.000
0.000 6.456 -2.226
0.000 -0.078 6.828
S Ho Pu
4 1 3
Direct
0.000 0.247 0.247 S
0.500 0.753 0.247 S
0.000 0.753 0.753 S
0.500 0.247 0.753 S
0.500 0.000 0.000 Ho
0.000 0.000 0.500 Pu
0.500 0.500 0.500 Pu
0.000 0.500 0.000 Pu
```

=====

# Ho4PuScS8

A relaxed structure of Ho4PuScS8 (PBE, Alexandria).

Summary:
Symmetry ... R3m (160)

```
Ho4PuScS8
1.0
-7.540 2.791 0.705
-5.377 -3.995 4.502
-2.560 3.021 6.858
Ho Pu Sc S
4 1 1 8
Direct
0.621 0.621 0.136 Ho
0.001 0.496 0.501 Ho
0.496 0.001 0.501 Ho
0.001 0.001 0.501 Ho
0.381 0.381 0.856 Pu
0.002 0.002 0.993 Sc
0.231 0.788 0.750 S
0.788 0.231 0.750 S
0.231 0.231 0.750 S
0.241 0.241 0.277 S
0.763 0.223 0.251 S
0.223 0.763 0.251 S
0.763 0.763 0.251 S
0.757 0.757 0.730 S
```

=====

# Ho4Pu3ScS8

A relaxed structure of Ho4Pu3ScS8 (PBE, Alexandria).

Summary:
Symmetry ... R-3m (166)

```
Ho4Pu3ScS8
1.0
-3.723 2.286 6.417
-4.068 -6.643 0.006
7.759 -0.216 -0.117
Ho Pu Sc S
4 3 1 8
Direct
0.500 0.000 0.000 Ho
0.500 0.000 0.500 Ho
0.000 0.000 0.000 Ho
0.000 0.000 0.500 Ho
0.500 0.500 0.000 Pu
0.500 0.500 0.500 Pu
0.000 0.500 0.500 Pu
0.000 0.500 0.000 Sc
0.246 0.749 0.004 S
0.246 0.749 0.492 S
0.248 0.245 0.497 S
0.758 0.749 0.004 S
0.242 0.251 0.996 S
0.752 0.755 0.503 S
0.754 0.251 0.508 S
0.754 0.251 0.996 S
```

=====

# Ho3Pu2ScS6

A relaxed structure of Ho3Pu2ScS6 (PBE, Alexandria).

Summary:
Symmetry ... C2/m (12)

```
Ho3Pu2ScS6
1.0
-2.787 -2.270 1.430
3.628 -0.122 6.880
-3.739 7.819 -0.108
Ho Pu Sc S
3 2 1 6
Direct
0.500 0.500 0.000 Ho
0.832 0.166 0.664 Ho
0.168 0.834 0.336 Ho
0.835 0.669 0.670 Pu
0.165 0.331 0.330 Pu
0.500 0.000 0.000 Sc
0.337 0.923 0.675 S
0.666 0.586 0.332 S
0.663 0.077 0.325 S
0.997 0.240 0.994 S
0.003 0.760 0.006 S
0.334 0.414 0.668 S
```

=====

# Ho2PuScS4

A relaxed structure of Ho2PuScS4 (PBE, Alexandria).

Summary:
Symmetry ... P2/m (10)

```
Ho2PuScS4
1.0
3.846 0.000 0.000
0.000 6.685 0.131
0.000 -2.321 6.265
Ho Pu Sc S
2 1 1 4
Direct
0.500 0.000 0.500 Ho
0.000 0.500 0.500 Ho
0.500 0.500 0.000 Pu
0.000 0.000 0.000 Sc
0.500 0.240 0.243 S
0.500 0.760 0.757 S
0.000 0.243 0.751 S
0.000 0.757 0.249 S
```

=====

# Ho2PuSc3S6

A relaxed structure of Ho2PuSc3S6 (PBE, Alexandria).

Summary:
Symmetry ... C2/m (12)

```
Ho2PuSc3S6
1.0
3.783 0.000 0.000
0.000 7.621 0.266
-1.892 -2.205 7.988
Ho Pu Sc S
2 1 3 6
Direct
0.836 0.670 0.672 Ho
0.164 0.330 0.328 Ho
0.500 0.000 0.000 Pu
0.500 0.500 0.000 Sc
0.835 0.162 0.670 Sc
0.165 0.838 0.330 Sc
0.328 0.922 0.656 S
0.665 0.592 0.330 S
0.672 0.078 0.344 S
0.996 0.261 0.993 S
0.004 0.739 0.007 S
0.335 0.408 0.670 S
```

=====

# HoPuSc2S4

A relaxed structure of HoPuSc2S4 (PBE, Alexandria).

Summary:
Symmetry ... P2/m (10)

```
HoPuSc2S4
1.0
-2.703 -2.205 1.483
3.625 -5.345 -1.337
1.521 2.194 6.032
Ho Pu Sc S
1 1 2 4
Direct
0.000 0.000 0.000 Ho
0.500 0.500 0.000 Pu
0.500 0.000 0.500 Sc
0.000 0.500 0.500 Sc
0.500 0.252 0.266 S
0.500 0.748 0.734 S
0.000 0.242 0.733 S
0.000 0.758 0.267 S
```

=====

# Ho3PuSc2S6

A relaxed structure of Ho3PuSc2S6 (PBE, Alexandria).

Summary:
Symmetry ... C2/m (12)

```
Ho3PuSc2S6
1.0
-2.555 1.116 2.609
-5.690 -1.304 -5.015
2.080 -7.886 2.616
Ho Pu Sc S
3 1 2 6
Direct
0.500 0.500 0.000 Ho
0.836 0.166 0.672 Ho
0.164 0.834 0.328 Ho
0.500 0.000 0.000 Pu
0.837 0.674 0.673 Sc
0.163 0.326 0.327 Sc
0.330 0.907 0.661 S
0.671 0.575 0.342 S
0.670 0.093 0.339 S
0.004 0.256 0.007 S
0.996 0.744 0.993 S
0.329 0.425 0.658 S
```

=====

# HoPu2Se2S2

A relaxed structure of HoPu2Se2S2 (PBE, Alexandria).

Summary:
Symmetry ... I4/mmm (139)

```
HoPu2Se2S2
1.0
-3.592 -1.372 3.316
-2.039 -3.081 -3.483
7.116 -3.301 2.455
Ho Pu Se S
1 2 2 2
Direct
0.000 0.000 0.000 Ho
0.377 0.377 0.754 Pu
0.623 0.623 0.246 Pu
0.187 0.187 0.374 Se
0.813 0.813 0.626 Se
0.000 0.500 0.000 S
0.500 0.000 0.000 S
```

=====

| no. | raw formation energy (eV/atom) |
| --- | --- |
| 1 | -1.982 |
| 2 | -1.462 |
| 3 | -1.963 |
| 4 | -1.816 |
| 5 | -1.860 |
| 6 | -1.902 |
| 7 | -1.904 |
| 8 | -1.904 |
| 9 | -1.900 |
| 10 | -1.882 |
| 11 | -1.916 |
| 12 | -1.425 |